Computed, not measured: a geometry-optimized Co11B4SbO20 structure at the PBE+U level of DFT.

Results
Space group: No. 12
Final energy: -237.29 eV per cell
Calculated density: 5.25 g cm⁻³
Crystal system: monoclinic
Spin magnetization: 23.974 μB per formula unit

Structure (POSCAR):
```
Co11B4SbO20
1.0
5.446 -3.074 0.000
5.446 3.074 0.000
-4.637 0.000 10.709
Co B Sb O
11 4 1 20
direct
0.000 0.000 0.000 Co
0.000 0.000 0.500 Co
0.000 0.500 0.500 Co
0.221 0.718 0.217 Co
0.248 0.248 0.001 Co
0.282 0.779 0.783 Co
0.500 0.000 0.500 Co
0.500 0.500 0.000 Co
0.718 0.221 0.217 Co
0.752 0.752 0.999 Co
0.779 0.282 0.783 Co
0.236 0.236 0.259 B
0.264 0.264 0.744 B
0.736 0.736 0.256 B
0.764 0.764 0.741 B
0.500 0.500 0.500 Sb
0.101 0.101 0.204 O
0.154 0.637 0.028 O
0.175 0.175 0.802 O
0.215 0.215 0.613 O
0.215 0.693 0.592 O
0.296 0.296 0.393 O
0.307 0.785 0.408 O
0.322 0.322 0.199 O
0.363 0.846 0.972 O
0.402 0.402 0.813 O
0.598 0.598 0.187 O
0.637 0.154 0.028 O
0.678 0.678 0.801 O
0.693 0.215 0.592 O
0.704 0.704 0.607 O
0.785 0.307 0.408 O
0.785 0.785 0.387 O
0.825 0.825 0.198 O
0.846 0.363 0.972 O
0.899 0.899 0.796 O
```